First-principles (GGA-PBE) data for an optimized crystal structure of PrErTh2, as listed in the Alexandria database.

* V: 131.0 Å³ per cell
* calculated formation energy: 0.0775 eV/atom
* crystal system: tetragonal
* energy relative to the lowest polymorph listed for this composition: 0.047 eV/atom
* ρ: 9.8 g/cm³

a b c (Å): 3.563 3.563 10.317
angles (deg): 90.00 90.00 90.00
Space group P4/mmm (No. 123)
Unique sites:
Pr 0.000 0.000 0.000 [1 per cell]
Er 0.000 0.000 0.500 [1 per cell]
Th 0.500 0.500 0.257 [2 per cell]